This record from OQMD via LeMat-Bulk describes a geometry-optimized AcCoOs structure. The functional is PBE-GGA.

Summary:
- energy of formation from the pure elements (eV/atom) = 0.76

Geometry as CIF:
```
data_AcCoOs
_chemical_formula_sum 'Ac4 Co4 Os4'
_space_group_name_H-M_alt 'F -4 3 m'
_space_group_IT_number 216
_space_group_name_Hall 'F -4 2 3'
_cell_length_a 6.501
_cell_length_b 6.501
_cell_length_c 6.501
_cell_angle_alpha 90.00
_cell_angle_beta 90.00
_cell_angle_gamma 90.00
loop_
_atom_site_label
_atom_site_type_symbol
_atom_site_fract_x
_atom_site_fract_y
_atom_site_fract_z
_atom_site_occupancy
Ac1 Ac 0.000 0.000 0.000 1
Co1 Co 0.000 0.000 0.500 1
Os1 Os 0.250 0.250 0.250 1
```